The following is a PBE calculation of a relaxed NpVGa crystal, from Alexandria via LeMat-Bulk.

Values from the calculation:
* theoretical density: 12.53 Mg/m³
* DFT total energy: -8.308 eV per atom
* DOS at the Fermi energy: 3.70 states/eV/f.u.
* excess energy over the best structure of this formula in the dataset: 0.000 eV/atom
* space group: I4mm, No. 107
* energy of formation from the pure elements: 54 meV per atom

```
NpVGa
1.0
-1.301 1.301 7.001
1.301 -1.301 7.001
1.301 1.301 -7.001
Np V Ga
1 1 1
direct
0.000 0.000 0.000
0.322 0.322 0.000
0.677 0.677 0.000
```